*P*
Entry from Alexandria: TaCd3F after structural relaxation (PBE).

Computed properties:
Total magnetic moment, μB per formula unit: 2.70

abc: 5.6058 5.6058 5.6058
angles: 90.00 90.00 90.00
With the nearest neighbours (Å) after each atom.
Space group Pm-3m (No. 221)
Unique sites:
Ta (0.0000, 0.0000, 0.0000) x1  6 Cd 2.80
Cd (0.0000, 0.0000, 0.5000) x3  2 Ta 2.80
F (0.5000, 0.5000, 0.5000) x1  12 Cd 3.96

***

*Q*
Entry from Alexandria: TaCd3F after structural relaxation (PBE).

Computed properties:
Total magnetic moment, μB per formula unit: 1.06

abc: 4.6327 4.6327 4.6327
angles: 90.00 90.00 90.00
With the nearest neighbours (Å) after each atom.
Space group Pm-3m (No. 221)
Unique sites:
Ta (0.0000, 0.0000, 0.0000) x1  12 Cd 3.28
Cd (0.0000, 0.5000, 0.5000) x3  2 F 2.32
F (0.5000, 0.5000, 0.5000) x1  6 Cd 2.32

***

Which structure is most stable, and how do the rest compare? From most to least stable: *Q*, *P*.

***

*P*
Entry from Alexandria: TaCd2F after structural relaxation (PBE).

Computed properties:
Total magnetic moment, μB per formula unit: 0.00

abc: 6.7461 6.7461 6.7461
angles: 90.00 90.00 90.00
With the nearest neighbours (Å) after each atom.
Space group Fm-3m (No. 225)
Unique sites:
Ta (0.0000, 0.0000, 0.0000) x4  8 Cd 2.92
Cd (0.2500, 0.2500, 0.2500) x8  4 Ta 2.92, 4 F 2.92
F (0.0000, 0.0000, 0.5000) x4  8 Cd 2.92

***

*Q*
Entry from Alexandria: TaCd2F after structural relaxation (PBE).

Computed properties:
Total magnetic moment, μB per formula unit: 1.38

abc: 7.4720 7.4720 5.3170
angles: 90.00 90.00 90.00
With the nearest neighbours (Å) after each atom.
Space group I-42d (No. 122)
Unique sites:
Ta (0.0000, 0.0000, 0.0000) x4  2 F 2.66
Cd (0.2000, 0.7500, 0.6250) x8  2 F 2.48, 2 Cd 2.76
F (0.0000, 0.0000, 0.5000) x4  4 Cd 2.48, 2 Ta 2.66

***

Which structure is most stable, and how do the rest compare? From most to least stable: *Q*, *P*.

***

*P*
Entry from Alexandria: Cd2TcF after structural relaxation (PBE).

Computed properties:
Total magnetic moment, μB per formula unit: 2.85

abc: 7.0642 7.0642 5.9641
angles: 90.00 90.00 90.00
With the nearest neighbours (Å) after each atom.
Space group I-42d (No. 122)
Unique sites:
Cd (0.2040, 0.2500, 0.1250) x8  2 F 2.40
Tc (0.0000, 0.0000, 0.5000) x4  4 Cd 2.84, 2 F 2.98
F (0.0000, 0.0000, 0.0000) x4  4 Cd 2.40

***

*Q*
Entry from Alexandria: Cd2TcF after structural relaxation (PBE).

Computed properties:
Total magnetic moment, μB per formula unit: 2.70

abc: 6.6377 6.6377 6.6377
angles: 90.00 90.00 90.00
With the nearest neighbours (Å) after each atom.
Space group Fm-3m (No. 225)
Unique sites:
Cd (0.2500, 0.2500, 0.2500) x8  4 F 2.87, 4 Tc 2.87
Tc (0.0000, 0.0000, 0.0000) x4  8 Cd 2.87
F (0.0000, 0.0000, 0.5000) x4  8 Cd 2.87

***

Which structure is most stable, and how do the rest compare? From most to least stable: *P*, *Q*.

***

*P*
Entry from Alexandria: Cd3TcF after structural relaxation (PBE).

Computed properties:
Total magnetic moment, μB per formula unit: 3.04

abc: 5.3949 5.3949 5.3949
angles: 90.00 90.00 90.00
With the nearest neighbours (Å) after each atom.
Space group Pm-3m (No. 221)
Unique sites:
Cd (0.0000, 0.0000, 0.5000) x3  2 Tc 2.70
Tc (0.0000, 0.0000, 0.0000) x1  6 Cd 2.70
F (0.5000, 0.5000, 0.5000) x1  12 Cd 3.81

***

*Q*
Entry from Alexandria: Cd3TcF after structural relaxation (PBE).

Computed properties:
Total magnetic moment, μB per formula unit: 1.49

abc: 4.5881 4.5881 4.5881
angles: 90.00 90.00 90.00
With the nearest neighbours (Å) after each atom.
Space group Pm-3m (No. 221)
Unique sites:
Cd (0.0000, 0.0000, 0.5000) x3  2 F 2.29
Tc (0.5000, 0.5000, 0.5000) x1  12 Cd 3.24
F (0.0000, 0.0000, 0.0000) x1  6 Cd 2.29

***

Which structure is most stable, and how do the rest compare? From most to least stable: *Q*, *P*.

***

*P*
Entry from Alexandria: TlCdTc2F after structural relaxation (PBE).

Computed properties:
Total magnetic moment, μB per formula unit: 6.00

abc: 5.2395 5.2395 4.2982
angles: 90.00 90.00 90.00
With the nearest neighbours (Å) after each atom.
Space group P4/mmm (No. 123)
Unique sites:
Tl (0.0000, 0.0000, 0.0000) x1  8 Tc 3.39, 4 F 3.70
Cd (0.5000, 0.5000, 0.5000) x1  2 F 2.15
Tc (0.0000, 0.5000, 0.5000) x2  2 Cd 2.62
F (0.5000, 0.5000, 0.0000) x1  2 Cd 2.15

***

*Q*
Entry from Alexandria: TlCdTc2F after structural relaxation (PBE).

Computed properties:
Total magnetic moment, μB per formula unit: 7.75

abc: 5.1860 5.1860 6.1488
angles: 90.00 90.00 90.00
With the nearest neighbours (Å) after each atom.
Space group P4/mmm (No. 123)
Unique sites:
Tl (0.0000, 0.0000, 0.0000) x1  2 Cd 3.07
Cd (0.0000, 0.0000, 0.5000) x1  4 Tc 2.59
Tc (0.0000, 0.5000, 0.5000) x2  2 Cd 2.59
F (0.5000, 0.5000, 0.0000) x1  4 Tl 3.67, 8 Tc 4.02

***

Which structure is most stable, and how do the rest compare? From most to least stable: *P*, *Q*.

***

*P*
Entry from Alexandria: CdTeF after structural relaxation (PBE).

Computed properties:
Total magnetic moment, μB per formula unit: 0.00

abc: 3.2996 5.8918 3.4774
angles: 90.00 90.00 90.00
With the nearest neighbours (Å) after each atom.
Space group Pmm2 (No. 25)
Unique sites:
Cd (0.0000, 0.0000, 0.0000) x1  4 F 2.39-2.40
Te (0.0000, 0.5000, 0.9893) x1  2 Cd 2.95, 2 Te 3.30
F (0.5000, 0.0000, 0.4986) x1  4 Cd 2.39-2.40

***

*Q*
Entry from Alexandria: CdTeF after structural relaxation (PBE).

Computed properties:
Total magnetic moment, μB per formula unit: 0.00

abc: 3.5109 3.5600 6.7414
angles: 78.78 78.51 65.14
With the nearest neighbours (Å) after each atom.
Space group P1 (No. 1)
Unique sites:
Cd (0.0000, 0.0000, 0.0000) x1  3 F 2.30-2.37
Te (0.2482, 0.2639, 0.3254) x1  3 Cd 2.95-3.01
F (0.7034, 0.6957, 0.8398) x1  3 Cd 2.30-2.37

***

*R*
Entry from Alexandria: CdTeF after structural relaxation (PBE).

Computed properties:
Total magnetic moment, μB per formula unit: 0.00

abc: 4.6951 4.7927 5.2307
angles: 113.61 90.26 119.26
With the nearest neighbours (Å) after each atom.
Space group P1 (No. 1)
Unique sites:
Cd (0.0000, 0.0000, 0.0000) x1  1 F 2.25
Te (0.2933, 0.5872, 0.8471) x1  1 F 2.45
F (0.2809, 0.5621, 0.3704) x1  1 Cd 2.25, 1 Te 2.45

***

Which structure is most stable, and how do the rest compare? From most to least stable: *P*, *Q*, *R*.

***

*P*
Entry from Alexandria: CdTeF after structural relaxation (PBE).

Computed properties:
Total magnetic moment, μB per formula unit: 0.00

abc: 4.7329 5.8693 6.0001
angles: 75.37 83.07 82.31
With the nearest neighbours (Å) after each atom.
Space group P-1 (No. 2)
Unique sites:
Cd (0.2346, 0.2459, 0.0094) x2  2 F 2.25-2.29
Te (0.1345, 0.6280, 0.6157) x2  1 Te 2.79, 2 Cd 2.85-2.86, 1 F 3.01
F (0.2871, 0.8738, 0.9619) x2  2 Cd 2.25-2.29

***

*Q*
Entry from Alexandria: CdTeF after structural relaxation (PBE).

Computed properties:
Total magnetic moment, μB per formula unit: 0.00

abc: 3.3356 6.0551 7.0631
angles: 90.00 90.00 90.00
With the nearest neighbours (Å) after each atom.
Space group Amm2 (No. 38)
Unique sites:
Cd (0.0000, 0.0000, 0.0000) x2  2 F 2.20
Te (0.0000, 0.0000, 0.3927) x2  1 Cd 2.77
F (0.5000, 0.0000, 0.7968) x2  2 Cd 2.20

***

Which structure is most stable, and how do the rest compare? From most to least stable: *P*, *Q*.

***

*P*
Entry from Alexandria: CdTe3F after structural relaxation (PBE).

Computed properties:
Total magnetic moment, μB per formula unit: 0.00

abc: 5.4982 5.4982 5.4982
angles: 90.00 90.00 90.00
With the nearest neighbours (Å) after each atom.
Space group Pm-3m (No. 221)
Unique sites:
Cd (0.0000, 0.0000, 0.0000) x1  6 Te 2.75
Te (0.0000, 0.0000, 0.5000) x3  2 Cd 2.75
F (0.5000, 0.5000, 0.5000) x1  12 Te 3.89

***

*Q*
Entry from Alexandria: CdTe3F after structural relaxation (PBE).

Computed properties:
Total magnetic moment, μB per formula unit: 0.00

abc: 5.0193 5.0193 5.0193
angles: 90.00 90.00 90.00
With the nearest neighbours (Å) after each atom.
Space group Pm-3m (No. 221)
Unique sites:
Cd (0.0000, 0.0000, 0.0000) x1  12 Te 3.55
Te (0.0000, 0.5000, 0.5000) x3  2 F 2.51
F (0.5000, 0.5000, 0.5000) x1  6 Te 2.51

***

Which structure is most stable, and how do the rest compare? From most to least stable: *Q*, *P*.

***

*P*
Entry from Alexandria: Cd3TeF after structural relaxation (PBE).

Computed properties:
Total magnetic moment, μB per formula unit: 0.00

abc: 5.8660 5.8660 5.8660
angles: 90.00 90.00 90.00
With the nearest neighbours (Å) after each atom.
Space group Pm-3m (No. 221)
Unique sites:
Cd (0.0000, 0.0000, 0.5000) x3  2 Te 2.93
Te (0.0000, 0.0000, 0.0000) x1  6 Cd 2.93
F (0.5000, 0.5000, 0.5000) x1  12 Cd 4.15

***

*Q*
Entry from Alexandria: Cd3TeF after structural relaxation (PBE).

Computed properties:
Total magnetic moment, μB per formula unit: 0.00

abc: 4.9431 4.9431 4.9431
angles: 90.00 90.00 90.00
With the nearest neighbours (Å) after each atom.
Space group Pm-3m (No. 221)
Unique sites:
Cd (0.0000, 0.0000, 0.5000) x3  2 F 2.47
Te (0.5000, 0.5000, 0.5000) x1  12 Cd 3.50
F (0.0000, 0.0000, 0.0000) x1  6 Cd 2.47

***

Which structure is most stable, and how do the rest compare? From most to least stable: *Q*, *P*.

***

*P*
Entry from Alexandria: TiCdF2 after structural relaxation (PBE).

Computed properties:
Total magnetic moment, μB per formula unit: 2.00

abc: 6.2071 6.2071 6.2071
angles: 90.00 90.00 90.00
With the nearest neighbours (Å) after each atom.
Space group Fm-3m (No. 225)
Unique sites:
Ti (0.0000, 0.0000, 0.0000) x4  8 F 2.69
Cd (0.0000, 0.0000, 0.5000) x4  8 F 2.69
F (0.2500, 0.2500, 0.2500) x8  4 Cd 2.69, 4 Ti 2.69

***

*Q*
Entry from Alexandria: TiCdF2 after structural relaxation (PBE).

Computed properties:
Total magnetic moment, μB per formula unit: 0.00

abc: 2.8509 2.8509 26.2355
angles: 90.00 90.00 120.00
With the nearest neighbours (Å) after each atom.
Space group R-3m (No. 166, hexagonal axes)
Unique sites:
Ti (0.0000, 0.0000, 0.0000) x3  6 F 2.16
Cd (0.0000, 0.0000, 0.5000) x3  6 Cd 2.85, 2 F 2.98
F (0.0000, 0.0000, 0.3866) x6  3 Ti 2.16

***

*R*
Entry from Alexandria: TiCdF2 after structural relaxation (PBE).

Computed properties:
Total magnetic moment, μB per formula unit: 1.98

abc: 5.4819 5.4819 11.5701
angles: 90.00 90.00 90.00
With the nearest neighbours (Å) after each atom.
Space group I4_1/amd (No. 141, origin choice 2)
Unique sites:
Ti (0.0000, 0.2500, 0.3750) x4  4 F 1.99
Cd (0.0000, 0.2500, 0.8750) x4  8 F 3.39
F (0.0000, 0.0000, 0.5000) x8  2 Ti 1.99

***

Which structure is most stable, and how do the rest compare? From most to least stable: *Q*, *R*, *P*.

***

*P*
Entry from Alexandria: Ti2CdF2 after structural relaxation (PBE).

Computed properties:
Total magnetic moment, μB per formula unit: 0.00

abc: 7.3394 7.3394 2.6125
angles: 90.00 90.00 90.00
With the nearest neighbours (Å) after each atom.
Space group P4/mbm (No. 127)
Unique sites:
Ti (0.1651, 0.3349, 0.0000) x4  6 F 2.44-2.68, 2 Ti 2.61
Cd (0.0000, 0.0000, 0.5000) x2  2 Cd 2.61
F (0.1096, 0.6096, 0.5000) x4  1 F 2.28, 4 Ti 2.44

***

*Q*
Entry from Alexandria: Ti2CdF2 after structural relaxation (PBE).

Computed properties:
Total magnetic moment, μB per formula unit: 0.00

abc: 3.8108 3.8108 10.2120
angles: 90.00 90.00 90.00
With the nearest neighbours (Å) after each atom.
Space group I4/mmm (No. 139)
Unique sites:
Ti (0.0000, 0.5000, 0.2500) x4  4 F 2.25
Cd (0.0000, 0.0000, 0.0000) x2  8 F 3.02, 8 Ti 3.19
F (0.0000, 0.0000, 0.3675) x4  4 Ti 2.25

***

Which structure is most stable, and how do the rest compare? From most to least stable: *Q*, *P*.

***

*P*
Entry from Alexandria: Ti2CdF after structural relaxation (PBE).

Computed properties:
Total magnetic moment, μB per formula unit: 0.00

abc: 4.9684 4.9684 12.6081
angles: 90.00 90.00 90.00
With the nearest neighbours (Å) after each atom.
Space group I-42d (No. 122)
Unique sites:
Ti (0.0651, 0.2500, 0.1250) x8  2 F 2.03
Cd (0.0000, 0.0000, 0.5000) x4  4 Ti 2.95
F (0.0000, 0.0000, 0.0000) x4  4 Ti 2.03

***

*Q*
Entry from Alexandria: Ti2CdF after structural relaxation (PBE).

Computed properties:
Total magnetic moment, μB per formula unit: 0.00

abc: 6.4479 6.4479 6.4479
angles: 90.00 90.00 90.00
With the nearest neighbours (Å) after each atom.
Space group Fm-3m (No. 225)
Unique sites:
Ti (0.2500, 0.2500, 0.2500) x8  4 Cd 2.79, 4 F 2.79
Cd (0.0000, 0.0000, 0.0000) x4  8 Ti 2.79
F (0.0000, 0.0000, 0.5000) x4  8 Ti 2.79

***

Which structure is most stable, and how do the rest compare? From most to least stable: *P*, *Q*.

***

*P*
Entry from Alexandria: Ti3CdF after structural relaxation (PBE).

Computed properties:
Total magnetic moment, μB per formula unit: 5.14

abc: 5.1304 5.1304 5.1304
angles: 90.00 90.00 90.00
With the nearest neighbours (Å) after each atom.
Space group Pm-3m (No. 221)
Unique sites:
Ti (0.0000, 0.0000, 0.5000) x3  2 Cd 2.57
Cd (0.0000, 0.0000, 0.0000) x1  6 Ti 2.57
F (0.5000, 0.5000, 0.5000) x1  12 Ti 3.63

***

*Q*
Entry from Alexandria: Ti3CdF after structural relaxation (PBE).

Computed properties:
Total magnetic moment, μB per formula unit: 1.55

abc: 4.2792 4.2792 4.2792
angles: 90.00 90.00 90.00
With the nearest neighbours (Å) after each atom.
Space group Pm-3m (No. 221)
Unique sites:
Ti (0.0000, 0.0000, 0.5000) x3  2 F 2.14
Cd (0.5000, 0.5000, 0.5000) x1  12 Ti 3.03
F (0.0000, 0.0000, 0.0000) x1  6 Ti 2.14

***

Which structure is most stable, and how do the rest compare? From most to least stable: *Q*, *P*.